Entry 1:
Compound: Er2ScTc
Source: Alexandria via LeMat-Bulk
Functional: GGA-PBE
Structure: relaxed

Results
- ΔE to the lowest computed polymorph (meV per atom) = 185.6

Cell lengths 6.3438, 6.3438, 7.4026 Å; angles 106.98, 106.98, 47.54 degrees
Last column: nearest neighbours and their distance in Å.
Element x y z (fractional)
Er: 0.1813 0.1818 0.0908  2 Tc 2.72
Er: 0.1818 0.1813 0.5908  2 Tc 2.72
Er: 0.8182 0.8187 0.4092  2 Tc 2.72
Er: 0.8187 0.8182 0.9092  2 Tc 2.72
Sc: 0.4964 0.5036 0.7500  2 Tc 2.56
Sc: 0.5036 0.4964 0.2500  2 Tc 2.56
Tc: 0.0040 0.9960 0.2500  2 Sc 2.56, 4 Er 2.72
Tc: 0.9960 0.0040 0.7500  2 Sc 2.56, 4 Er 2.72


Entry 2:
Compound: La3SmHo2As6
Source: Alexandria via LeMat-Bulk
Functional: GGA-PBE
Structure: relaxed

Results
- DFT total energy (Ry/atom) = -0.4596

Cell lengths 7.3777, 7.3777, 7.3708 Å; angles 99.60, 99.60, 120.00 degrees
Last column: nearest neighbours and their distance in Å.
Element x y z (fractional)
La: 0.0000 0.0000 0.0000  6 As 3.04-3.07
La: 0.3341 0.6659 0.0000  6 As 3.04-3.07
La: 0.6659 0.3341 0.0000  6 As 3.04-3.07
Sm: 0.5000 0.5000 0.5000  6 As 2.98-2.99
Ho: 0.1669 0.8331 0.5000  6 As 2.95
Ho: 0.8331 0.1669 0.5000  6 As 2.95
As: 0.0835 0.4206 0.2619  2 Ho 2.95, 1 Sm 2.99, 3 La 3.04-3.07
As: 0.2420 0.2420 0.7373  2 Ho 2.95, 1 Sm 2.98, 3 La 3.04-3.07
As: 0.4206 0.0835 0.2619  2 Ho 2.95, 1 Sm 2.99, 3 La 3.04-3.07
As: 0.5794 0.9165 0.7381  2 Ho 2.95, 1 Sm 2.99, 3 La 3.04-3.07
As: 0.7580 0.7580 0.2626  2 Ho 2.95, 1 Sm 2.98, 3 La 3.04-3.07
As: 0.9165 0.5794 0.7381  2 Ho 2.95, 1 Sm 2.99, 3 La 3.04-3.07


Entry 3:
Compound: CaAgIr
Source: Alexandria via LeMat-Bulk
Functional: GGA-PBE
Structure: relaxed

Results
- ΔE to the lowest computed polymorph (meV per atom) = 137.2

Cell lengths 5.2603, 5.2603, 5.2603 Å; angles 147.53, 131.59, 59.50 degrees
Last column: nearest neighbours and their distance in Å.
Element x y z (fractional)
Ca: 0.0000 0.0000 0.0000  5 Ag 2.90-3.10, 2 Ca 2.94, 5 Ir 3.02-3.03
Ag: 0.3177 0.3177 0.0000  5 Ca 2.90-3.10, 2 Ag 2.94, 5 Ir 2.94-3.21
Ir: 0.6690 0.6690 0.0000  2 Ir 2.94, 5 Ag 2.94-3.21, 5 Ca 3.02-3.03